[1]
{"formula": "DyEr2Pd9", "functional": "PBE-GGA", "state": "optimized geometry", "cell": [[4.111, 0.000, 0.000], [0.000, 4.111, 0.000], [0.000, 0.000, 12.331]], "species": ["Dy", "Er", "Er", "Pd", "Pd", "Pd", "Pd", "Pd", "Pd", "Pd", "Pd", "Pd"], "frac_coords": [[0.000, 0.000, 0.000], [0.000, 0.000, 0.334], [0.000, 0.000, 0.666], [0.000, 0.500, 0.168], [0.000, 0.500, 0.500], [0.000, 0.500, 0.832], [0.500, 0.000, 0.168], [0.500, 0.000, 0.500], [0.500, 0.000, 0.832], [0.500, 0.500, 0.000], [0.500, 0.500, 0.334], [0.500, 0.500, 0.666]], "sg": "No. 123", "delta_e_f_mev_per_atom": -889}



[2]
{"formula": "Dy2ErPd3", "functional": "PBE-GGA", "state": "optimized geometry", "cell": [[6.163, -2.945, 0.000], [6.163, 2.945, 0.000], [-2.614, 0.000, 7.679]], "species": ["Dy", "Dy", "Dy", "Dy", "Er", "Er", "Pd", "Pd", "Pd", "Pd", "Pd", "Pd"], "frac_coords": [[0.146, 0.197, 0.081], [0.197, 0.146, 0.581], [0.803, 0.854, 0.419], [0.854, 0.803, 0.919], [0.387, 0.613, 0.750], [0.613, 0.387, 0.250], [0.114, 0.886, 0.250], [0.314, 0.377, 0.416], [0.377, 0.314, 0.916], [0.623, 0.686, 0.084], [0.686, 0.623, 0.584], [0.886, 0.114, 0.750]], "sg": "No. 15", "delta_e_f_mev_per_atom": -752, "de_polymorph_mev_per_atom": 149}



[3]
{"formula": "Dy3ErPd4", "functional": "PBE-GGA", "state": "optimized geometry", "cell": [[3.428, 0.000, 0.000], [0.000, 4.999, 0.000], [0.000, 0.000, 9.998]], "species": ["Dy", "Dy", "Dy", "Er", "Pd", "Pd", "Pd", "Pd"], "frac_coords": [[0.000, 0.000, 0.000], [0.000, 0.500, 0.251], [0.000, 0.500, 0.749], [0.000, 0.000, 0.500], [0.500, 0.000, 0.253], [0.500, 0.000, 0.747], [0.500, 0.500, 0.000], [0.500, 0.500, 0.500]], "sg": "No. 47", "delta_e_f_mev_per_atom": -898}



[4]
{"formula": "DyEr2Pd8", "functional": "PBE-GGA", "state": "optimized geometry", "cell": [[7.395, -2.096, 0.000], [7.395, 2.096, 0.000], [-2.128, 0.000, 6.396]], "species": ["Dy", "Er", "Er", "Pd", "Pd", "Pd", "Pd", "Pd", "Pd", "Pd", "Pd"], "frac_coords": [[0.000, 0.000, 0.000], [0.282, 0.282, 0.334], [0.718, 0.718, 0.666], [0.092, 0.092, 0.452], [0.178, 0.178, 0.908], [0.358, 0.358, 0.817], [0.462, 0.462, 0.283], [0.538, 0.538, 0.717], [0.642, 0.642, 0.183], [0.822, 0.822, 0.092], [0.908, 0.908, 0.548]], "sg": "No. 12", "delta_e_f_mev_per_atom": -785}



[5]
{"formula": "Dy2ErPd3", "functional": "PBE-GGA", "state": "optimized geometry", "cell": [[2.496, -7.494, 0.000], [2.496, 7.494, 0.000], [0.000, 0.000, 3.426]], "species": ["Dy", "Dy", "Er", "Pd", "Pd", "Pd"], "frac_coords": [[0.167, 0.833, 0.000], [0.833, 0.167, 0.000], [0.500, 0.500, 0.000], [0.000, 0.000, 0.500], [0.336, 0.664, 0.500], [0.664, 0.336, 0.500]], "sg": "No. 65", "delta_e_f_mev_per_atom": -901, "de_polymorph_mev_per_atom": 0}



[6]
{"formula": "Dy3Er3Pd2", "functional": "PBE-GGA", "state": "optimized geometry", "cell": [[2.442, -6.031, 0.000], [2.442, 6.031, 0.000], [0.000, 0.000, 14.854]], "species": ["Dy", "Dy", "Dy", "Dy", "Dy", "Dy", "Er", "Er", "Er", "Er", "Er", "Er", "Pd", "Pd", "Pd", "Pd"], "frac_coords": [[0.037, 0.963, 0.621], [0.037, 0.963, 0.879], [0.350, 0.650, 0.750], [0.650, 0.350, 0.250], [0.963, 0.037, 0.121], [0.963, 0.037, 0.379], [0.352, 0.648, 0.521], [0.352, 0.648, 0.979], [0.357, 0.643, 0.250], [0.643, 0.357, 0.750], [0.648, 0.352, 0.021], [0.648, 0.352, 0.479], [0.195, 0.805, 0.119], [0.195, 0.805, 0.381], [0.805, 0.195, 0.619], [0.805, 0.195, 0.881]], "sg": "No. 63", "delta_e_f_mev_per_atom": -396}



[7]
{"formula": "Dy3ErPd2", "functional": "PBE-GGA", "state": "optimized geometry", "cell": [[3.759, 0.000, 0.000], [0.000, 9.744, 0.000], [0.000, 0.000, 8.485]], "species": ["Dy", "Dy", "Dy", "Dy", "Dy", "Dy", "Er", "Er", "Pd", "Pd", "Pd", "Pd"], "frac_coords": [[0.000, 0.066, 0.000], [0.000, 0.285, 0.341], [0.000, 0.715, 0.841], [0.000, 0.934, 0.500], [0.500, 0.217, 0.680], [0.500, 0.783, 0.180], [0.500, 0.435, 0.021], [0.500, 0.565, 0.521], [0.000, 0.428, 0.748], [0.000, 0.572, 0.248], [0.500, 0.073, 0.274], [0.500, 0.927, 0.774]], "sg": "No. 26", "delta_e_f_mev_per_atom": -600}



[8]
{"formula": "DyEr2Pd3", "functional": "PBE-GGA", "state": "optimized geometry", "cell": [[4.977, 0.000, 0.000], [0.000, 14.934, 0.000], [0.000, 0.000, 3.418]], "species": ["Dy", "Dy", "Er", "Er", "Er", "Er", "Pd", "Pd", "Pd", "Pd", "Pd", "Pd"], "frac_coords": [[0.250, 0.250, 0.001], [0.750, 0.750, 0.999], [0.250, 0.583, 0.000], [0.250, 0.917, 0.000], [0.750, 0.083, 0.000], [0.750, 0.417, 0.000], [0.250, 0.081, 0.500], [0.250, 0.419, 0.500], [0.250, 0.750, 0.500], [0.750, 0.250, 0.500], [0.750, 0.581, 0.500], [0.750, 0.919, 0.500]], "sg": "No. 59", "delta_e_f_mev_per_atom": -913, "de_polymorph_mev_per_atom": 0}